1.
Here is an optimized crystal structure of TaAl2Cl from Alexandria. Energies are from PBEsol.

Cell lengths 4.6619, 4.6619, 4.6619 Å; angles 60.00, 60.00, 60.00 degrees
Closest atoms and distances in Å follow each position.
Positions (direct):
1 Ta 0.5000 0.5000 0.5000  8 Al 2.85
2 Al 0.2500 0.2500 0.2500  4 Ta 2.85, 4 Cl 2.85
3 Al 0.7500 0.7500 0.7500  4 Cl 2.85, 4 Ta 2.85
4 Cl 0.0000 0.0000 0.0000  8 Al 2.85

Results
The calculation puts the offset from the most stable computed form at 0.662 eV/atom. Its crystal system is cubic.

---

2.
Here is an optimized crystal structure of YTaAl2Cl from Alexandria. Energies are from PBEsol.

Cell lengths 4.6306, 4.6306, 4.8176 Å; angles 90.00, 90.00, 90.00 degrees
Closest atoms and distances in Å follow each position.
Positions (direct):
1 Y 0.0000 0.0000 0.5000  2 Cl 2.41
2 Cl 0.0000 0.0000 0.0000  4 Al 2.32, 2 Y 2.41
3 Al 0.0000 0.5000 0.0000  2 Cl 2.32
4 Al 0.5000 0.0000 0.0000  2 Cl 2.32
5 Ta 0.5000 0.5000 0.5000  4 Y 3.27, 8 Al 3.34

Results
Its crystal system is tetragonal.

---

One value per record, in order, for N(E_F): 2.33, 2.95 states/eV per cell.
One value per record, in order, for energy relative to the elements, uncorrected: 58.4, 47.1 kJ/mol of atoms.